AlInSbTe2 | GGA-PBE | optimized geometry

Excess energy over the best structure of this formula in the dataset: 0 meV/atom
SG: P4/mmm, No. 123
ΔE_f (raw): 0.175 eV/atom

```
data_AlInSbTe2
_cell_length_a 5.469
_cell_length_b 5.469
_cell_length_c 5.279
_cell_angle_alpha 90.00
_cell_angle_beta 90.00
_cell_angle_gamma 90.00
_symmetry_space_group_name_H-M 'P 1'
_symmetry_Int_Tables_number 1
_symmetry_space_group_name_Hall 'P 1'
loop_
_atom_site_label
_atom_site_fract_x
_atom_site_fract_y
_atom_site_fract_z
Al1 0.000 0.000 0.000
In1 0.500 0.500 0.500
Sb1 0.000 0.000 0.500
Te1 0.000 0.500 0.000
Te2 0.500 0.000 0.000
```

---

CsTlIn2Cl4 | GGA-PBE | optimized geometry

SG: P2/m, No. 10
ΔE_f (raw): -1.130 eV/atom

```
data_CsTlIn2Cl4
_cell_length_a 8.093
_cell_length_b 4.700
_cell_length_c 8.107
_cell_angle_alpha 90.00
_cell_angle_beta 109.68
_cell_angle_gamma 90.00
_symmetry_space_group_name_H-M 'P 1'
_symmetry_Int_Tables_number 1
_symmetry_space_group_name_Hall 'P 1'
loop_
_atom_site_label
_atom_site_fract_x
_atom_site_fract_y
_atom_site_fract_z
Cs1 0.000 0.000 0.000
Tl1 0.000 0.500 0.500
In1 0.500 0.000 0.500
In2 0.500 0.500 0.000
Cl1 0.259 0.000 0.746
Cl2 0.266 0.500 0.265
Cl3 0.734 0.500 0.735
Cl4 0.741 0.000 0.254
```

---

La2MoW | GGA-PBE | optimized geometry

ΔH_f (0 K): 0.85 eV per atom
Excess energy over the best structure of this formula in the dataset: 558 meV/atom
SG: I4/mmm, No. 139

```
data_La2MoW
_cell_length_a 6.092
_cell_length_b 6.092
_cell_length_c 6.092
_cell_angle_alpha 140.84
_cell_angle_beta 140.84
_cell_angle_gamma 56.58
_symmetry_space_group_name_H-M 'P 1'
_symmetry_Int_Tables_number 1
_symmetry_space_group_name_Hall 'P 1'
loop_
_atom_site_label
_atom_site_fract_x
_atom_site_fract_y
_atom_site_fract_z
La1 0.250 0.750 0.500
La2 0.750 0.250 0.500
Mo1 0.000 0.000 0.000
W1 0.500 0.500 0.000
```

---

Ac6La5Tm | GGA-PBE | optimized geometry

ΔH_f (0 K): 0.03 eV per atom
SG: Immm, No. 71

```
data_Ac6La5Tm
_cell_length_a 10.164
_cell_length_b 10.164
_cell_length_c 10.164
_cell_angle_alpha 148.70
_cell_angle_beta 116.21
_cell_angle_gamma 72.78
_symmetry_space_group_name_H-M 'P 1'
_symmetry_Int_Tables_number 1
_symmetry_space_group_name_Hall 'P 1'
loop_
_atom_site_label
_atom_site_fract_x
_atom_site_fract_y
_atom_site_fract_z
Ac1 0.082 0.335 0.748
Ac2 0.247 0.000 0.247
Ac3 0.413 0.665 0.748
Ac4 0.587 0.335 0.252
Ac5 0.753 0.000 0.753
Ac6 0.918 0.665 0.252
La1 0.165 0.165 0.000
La2 0.334 0.834 0.500
La3 0.500 0.500 0.000
La4 0.666 0.166 0.500
La5 0.835 0.835 0.000
Tm1 0.000 0.500 0.500
```

---

La2ErCd2In2 | GGA-PBE | optimized geometry

ΔH_f (0 K): -0.29 eV per atom
SG: R-3m, No. 166

```
data_La2ErCd2In2
_cell_length_a 9.704
_cell_length_b 9.704
_cell_length_c 9.704
_cell_angle_alpha 29.67
_cell_angle_beta 29.67
_cell_angle_gamma 29.67
_symmetry_space_group_name_H-M 'P 1'
_symmetry_Int_Tables_number 1
_symmetry_space_group_name_Hall 'P 1'
loop_
_atom_site_label
_atom_site_fract_x
_atom_site_fract_y
_atom_site_fract_z
La1 0.129 0.129 0.129
La2 0.871 0.871 0.871
Er1 0.000 0.000 0.000
Cd1 0.390 0.390 0.390
Cd2 0.610 0.610 0.610
In1 0.266 0.266 0.266
In2 0.734 0.734 0.734
```

---

Na3CdSb3Se8 | GGA-PBE | optimized geometry

SG: R-3m, No. 166
ΔE_f (raw): -0.507 eV/atom

```
data_Na3CdSb3Se8
_cell_length_a 8.603
_cell_length_b 8.603
_cell_length_c 8.603
_cell_angle_alpha 55.95
_cell_angle_beta 55.95
_cell_angle_gamma 55.95
_symmetry_space_group_name_H-M 'P 1'
_symmetry_Int_Tables_number 1
_symmetry_space_group_name_Hall 'P 1'
loop_
_atom_site_label
_atom_site_fract_x
_atom_site_fract_y
_atom_site_fract_z
Na1 0.000 0.500 0.500
Na2 0.500 0.000 0.500
Na3 0.500 0.500 0.000
Cd1 0.500 0.500 0.500
Sb1 0.000 0.000 0.500
Sb2 0.000 0.500 0.000
Sb3 0.500 0.000 0.000
Se1 0.241 0.742 0.742
Se2 0.243 0.243 0.243
Se3 0.258 0.258 0.759
Se4 0.258 0.759 0.258
Se5 0.742 0.241 0.742
Se6 0.742 0.742 0.241
Se7 0.757 0.757 0.757
Se8 0.759 0.258 0.258
```

---

CaY2Mo | GGA-PBE | optimized geometry

ΔH_f (0 K): 0.41 eV per atom
Excess energy over the best structure of this formula in the dataset: 155 meV/atom
SG: C2/m, No. 12

```
data_CaY2Mo
_cell_length_a 6.473
_cell_length_b 6.473
_cell_length_c 5.979
_cell_angle_alpha 117.40
_cell_angle_beta 117.40
_cell_angle_gamma 31.33
_symmetry_space_group_name_H-M 'P 1'
_symmetry_Int_Tables_number 1
_symmetry_space_group_name_Hall 'P 1'
loop_
_atom_site_label
_atom_site_fract_x
_atom_site_fract_y
_atom_site_fract_z
Ca1 0.000 0.000 0.000
Y1 0.202 0.202 0.702
Y2 0.798 0.798 0.298
Mo1 0.500 0.500 0.500
```

---

The calculation returns the following raw total energy values, one per record and in order: -16.0, -25.1, -30.2, -53.4, -23.8, -52.7, -24.1 eV/f.u..